(1)
Below is a geometry-optimized TiI2 structure, with properties calculated at the PBE level.

Output
Energy, eV per atom: -4.358
Formation energy (no corrections), eV per atom: -0.693
DOS at the Fermi energy, states/eV/cell: 4.56
Total moment, μB per cell: 0.00

Structure (CIF):
```
data_TiI2
_space_group_name_H-M_alt 'C 1 2/m 1'
_space_group_IT_number 12
_cell_length_a 16.119
_cell_length_b 3.738
_cell_length_c 6.667
_cell_angle_alpha 90.00
_cell_angle_beta 100.95
_cell_angle_gamma 90.00
loop_
_space_group_symop_operation_xyz
'x,y,z'
'-x,-y,-z'
'-x,y,-z'
'x,-y,z'
'x+1/2,y+1/2,z'
'-x+1/2,-y+1/2,-z'
'-x+1/2,y+1/2,-z'
'x+1/2,-y+1/2,z'
loop_
_atom_site_label
_atom_site_type_symbol
_atom_site_fract_x
_atom_site_fract_y
_atom_site_fract_z
Ti1 Ti 0.248 0.000 0.316
I1 I 0.121 0.500 0.352
I2 I 0.154 0.000 0.867
```



(2)
Below is a geometry-optimized La2FeSe structure, with properties calculated at the PBE level.

Output
Energy, eV per atom: -6.091
Formation energy (no corrections), eV per atom: -0.640
DOS at the Fermi energy, states/eV/cell: 3.55
Total moment, μB per cell: 0.76

Structure (CIF):
```
data_La2FeSe
_space_group_name_H-M_alt 'P 1 2/m 1'
_space_group_IT_number 10
_cell_length_a 3.706
_cell_length_b 3.681
_cell_length_c 7.327
_cell_angle_alpha 90.00
_cell_angle_beta 95.44
_cell_angle_gamma 90.00
loop_
_space_group_symop_operation_xyz
'x,y,z'
'-x,-y,-z'
'-x,y,-z'
'x,-y,z'
loop_
_atom_site_label
_atom_site_type_symbol
_atom_site_fract_x
_atom_site_fract_y
_atom_site_fract_z
La1 La 0.059 0.000 0.263
Fe1 Fe 0.500 0.500 0.500
Se1 Se 0.500 0.500 0.000
```



(3)
Below is a geometry-optimized Pd3PtBr9 structure, with properties calculated at the PBE level.

Output
Energy, eV per atom: -3.026
Formation energy (no corrections), eV per atom: -0.205
DOS at the Fermi energy, states/eV/cell: 33.62
Total moment, μB per cell: 0.00

Structure (CIF):
```
data_Pd3PtBr9
_space_group_name_H-M_alt 'C 1 c 1'
_space_group_IT_number 9
_cell_length_a 19.744
_cell_length_b 6.071
_cell_length_c 13.811
_cell_angle_alpha 90.00
_cell_angle_beta 100.40
_cell_angle_gamma 90.00
loop_
_space_group_symop_operation_xyz
'x,y,z'
'x,-y,z+1/2'
'x+1/2,y+1/2,z'
'x+1/2,-y+1/2,z+1/2'
loop_
_atom_site_label
_atom_site_type_symbol
_atom_site_fract_x
_atom_site_fract_y
_atom_site_fract_z
Pd1 Pd 0.000 0.208 0.000
Pd2 Pd 0.250 0.247 0.697
Pd3 Pd 0.403 0.249 0.169
Pt1 Pt 0.122 0.238 0.839
Br1 Br 0.046 0.048 0.384
Br2 Br 0.110 0.409 0.995
Br3 Br 0.135 0.073 0.681
Br4 Br 0.201 0.478 0.299
Br5 Br 0.286 0.032 0.089
Br6 Br 0.365 0.405 0.742
Br7 Br 0.402 0.450 0.011
Br8 Br 0.414 0.086 0.337
Br9 Br 0.488 0.053 0.641
```



- Which formula does entry 3 have?
  Pd3PtBr9



Repeat the first record exactly.
Below is a geometry-optimized TiI2 structure, with properties calculated at the PBE level.

Output
Energy, eV per atom: -4.358
Formation energy (no corrections), eV per atom: -0.693
DOS at the Fermi energy, states/eV/cell: 4.56
Total moment, μB per cell: 0.00

Structure (CIF):
```
data_TiI2
_space_group_name_H-M_alt 'C 1 2/m 1'
_space_group_IT_number 12
_cell_length_a 16.119
_cell_length_b 3.738
_cell_length_c 6.667
_cell_angle_alpha 90.00
_cell_angle_beta 100.95
_cell_angle_gamma 90.00
loop_
_space_group_symop_operation_xyz
'x,y,z'
'-x,-y,-z'
'-x,y,-z'
'x,-y,z'
'x+1/2,y+1/2,z'
'-x+1/2,-y+1/2,-z'
'-x+1/2,y+1/2,-z'
'x+1/2,-y+1/2,z'
loop_
_atom_site_label
_atom_site_type_symbol
_atom_site_fract_x
_atom_site_fract_y
_atom_site_fract_z
Ti1 Ti 0.248 0.000 0.316
I1 I 0.121 0.500 0.352
I2 I 0.154 0.000 0.867
```



Please write out number 3 again, unchanged.
Below is a geometry-optimized Pd3PtBr9 structure, with properties calculated at the PBE level.

Output
Energy, eV per atom: -3.026
Formation energy (no corrections), eV per atom: -0.205
DOS at the Fermi energy, states/eV/cell: 33.62
Total moment, μB per cell: 0.00

Structure (CIF):
```
data_Pd3PtBr9
_space_group_name_H-M_alt 'C 1 c 1'
_space_group_IT_number 9
_cell_length_a 19.744
_cell_length_b 6.071
_cell_length_c 13.811
_cell_angle_alpha 90.00
_cell_angle_beta 100.40
_cell_angle_gamma 90.00
loop_
_space_group_symop_operation_xyz
'x,y,z'
'x,-y,z+1/2'
'x+1/2,y+1/2,z'
'x+1/2,-y+1/2,z+1/2'
loop_
_atom_site_label
_atom_site_type_symbol
_atom_site_fract_x
_atom_site_fract_y
_atom_site_fract_z
Pd1 Pd 0.000 0.208 0.000
Pd2 Pd 0.250 0.247 0.697
Pd3 Pd 0.403 0.249 0.169
Pt1 Pt 0.122 0.238 0.839
Br1 Br 0.046 0.048 0.384
Br2 Br 0.110 0.409 0.995
Br3 Br 0.135 0.073 0.681
Br4 Br 0.201 0.478 0.299
Br5 Br 0.286 0.032 0.089
Br6 Br 0.365 0.405 0.742
Br7 Br 0.402 0.450 0.011
Br8 Br 0.414 0.086 0.337
Br9 Br 0.488 0.053 0.641
```



What did the first record say?
Below is a geometry-optimized TiI2 structure, with properties calculated at the PBE level.

Output
Energy, eV per atom: -4.358
Formation energy (no corrections), eV per atom: -0.693
DOS at the Fermi energy, states/eV/cell: 4.56
Total moment, μB per cell: 0.00

Structure (CIF):
```
data_TiI2
_space_group_name_H-M_alt 'C 1 2/m 1'
_space_group_IT_number 12
_cell_length_a 16.119
_cell_length_b 3.738
_cell_length_c 6.667
_cell_angle_alpha 90.00
_cell_angle_beta 100.95
_cell_angle_gamma 90.00
loop_
_space_group_symop_operation_xyz
'x,y,z'
'-x,-y,-z'
'-x,y,-z'
'x,-y,z'
'x+1/2,y+1/2,z'
'-x+1/2,-y+1/2,-z'
'-x+1/2,y+1/2,-z'
'x+1/2,-y+1/2,z'
loop_
_atom_site_label
_atom_site_type_symbol
_atom_site_fract_x
_atom_site_fract_y
_atom_site_fract_z
Ti1 Ti 0.248 0.000 0.316
I1 I 0.121 0.500 0.352
I2 I 0.154 0.000 0.867
```